[1]
This record from the Alexandria database describes crystalline PuAs3 at its relaxed geometry. The functional is PBEsol.

abc: 4.2106 4.2106 4.2106
angles: 90.00 90.00 90.00
Space group Pm-3m (No. 221)
Asymmetric unit:
Pu 0.0000 0.0000 0.0000
As 0.0000 0.5000 0.5000

Results
Electronic total energy in eV per atom: -8.0294
Energy of formation from the pure elements in eV per atom: -0.4111
M_tot in μB/atom: 1.134
Calculated volume in A^3/atom: 18.66

[2]
This record from the Alexandria database describes crystalline PuAs at its relaxed geometry. The functional is PBEsol.

abc: 5.7363 5.7363 5.7363
angles: 90.00 90.00 90.00
Space group Fm-3m (No. 225)
Asymmetric unit:
Pu 0.0000 0.0000 0.0000
As 0.0000 0.0000 0.5000

Results
Electronic total energy in eV per atom: -10.8592
Energy of formation from the pure elements in eV per atom: -0.7291
M_tot in μB/atom: 2.479
Calculated volume in A^3/atom: 23.59

[3]
This record from the Alexandria database describes crystalline Rb3As at its relaxed geometry. The functional is PBEsol.

abc: 6.0043 6.0043 10.6244
angles: 90.00 90.00 120.00
Space group P6_3/mmc (No. 194)
Asymmetric unit:
Rb 0.0000 0.0000 0.2500
Rb 0.3333 0.6667 0.0800
As 0.3333 0.6667 0.7500

Results
Electronic total energy in eV per atom: -2.3094
Energy of formation from the pure elements in eV per atom: -0.2639
M_tot in μB/atom: 0.000
Calculated volume in A^3/atom: 41.46